No. 1
A plane-wave DFT calculation with PBEsol was carried out for RuPt2Rh after structural relaxation.

POSCAR file:
```
RuPt2Rh
1.0
2.6980 0.0000 0.0000
0.0000 2.6980 0.0000
0.0000 0.0000 7.7714
Ru Pt Rh
1 2 1
direct
0.5000 0.5000 0.7415
0.0000 0.0000 0.9893
0.5000 0.5000 0.2561
0.0000 0.0000 0.5131
```

Calculated values
- total magnetic moment (μB/f.u.) = 0.00
- E above lowest polymorph (eV per atom) = 0.0000
- density of states at the Fermi level (states/eV/cell) = 3.56
- energy relative to the elements (kcal/mol of atoms) = -0.86



No. 2
A plane-wave DFT calculation with PBEsol was carried out for Zr5Al4 after structural relaxation.

POSCAR file:
```
Zr5Al4
1.0
5.7182 0.0000 0.0000
0.0000 8.3731 0.0000
0.0000 -4.1866 7.2513
Zr Al
10 8
direct
0.7500 0.7070 0.7070
0.2500 0.2930 0.2930
0.0000 0.6667 0.3333
0.7500 0.2930 0.0000
0.2500 0.7070 0.0000
0.2500 0.0000 0.7070
0.7500 0.0000 0.2930
0.5000 0.6667 0.3333
0.0000 0.3333 0.6667
0.5000 0.3333 0.6667
0.2500 0.6321 0.6321
0.2500 0.3679 0.0000
0.7500 0.0000 0.6321
0.7500 0.3679 0.3679
0.2500 0.0000 0.3679
0.0000 0.0000 0.0000
0.5000 0.0000 0.0000
0.7500 0.6321 0.0000
```

Calculated values
- total magnetic moment (μB/f.u.) = 0.00
- density of states at the Fermi level (states/eV/cell) = 13.40
- energy relative to the elements (kcal/mol of atoms) = -9.66



No. 3
A plane-wave DFT calculation with PBEsol was carried out for GdSi3Ni8 after structural relaxation.

POSCAR file:
```
GdSi3Ni8
1.0
6.2416 -0.0033 0.0000
2.9701 6.7759 0.0000
3.1208 -0.0017 6.7604
Gd Ni Si
2 16 6
direct
0.6319 0.2500 0.7362
0.3681 0.7500 0.2638
0.5610 0.0693 0.1515
0.1977 0.5791 0.6641
0.4324 0.3295 0.4188
0.8023 0.4209 0.3359
0.1228 0.2500 0.7544
0.1382 0.9209 0.6641
0.0000 0.5000 0.0000
0.8772 0.7500 0.2456
0.8618 0.0791 0.3359
0.2875 0.4307 0.1515
0.5676 0.6705 0.5812
0.1487 0.1705 0.4188
0.7125 0.5693 0.8485
0.8513 0.8295 0.5812
0.0000 0.0000 0.0000
0.4390 0.9307 0.8485
0.7226 0.3255 0.0912
0.5000 0.0000 0.5000
0.0000 0.5000 0.5000
0.1862 0.1745 0.0912
0.8138 0.8255 0.9088
0.2774 0.6745 0.9088
```

Calculated values
- total magnetic moment (μB/f.u.) = 7.07
- formation energy without anion corrections (eV/atom) = -0.6268
- density of states at the Fermi level (states/eV/cell) = 18.45



No. 4
A plane-wave DFT calculation with PBEsol was carried out for Ba8Si43Au3 after structural relaxation.

POSCAR file:
```
Ba8Si43Au3
1.0
-8.0841 5.8979 2.6509
0.7812 -3.3323 9.7699
6.4244 7.8278 2.1490
Si Ba Au
43 8 3
direct
0.4338 0.0630 0.4322
0.5666 0.5666 0.5666
0.2483 0.5543 0.3690
0.5662 0.5678 0.9370
0.7517 0.8693 0.4452
0.5678 0.9370 0.5662
0.4323 0.0635 0.0637
0.2484 0.9421 0.3668
0.7491 0.0000 0.2509
0.5543 0.3690 0.2483
0.5677 0.9363 0.9365
0.6310 0.4457 0.7517
0.0582 0.7518 0.8679
0.4334 0.4334 0.4334
0.8679 0.0582 0.7518
0.4457 0.7517 0.6310
0.2482 0.9418 0.1321
0.2483 0.5548 0.1307
0.4322 0.4338 0.0630
0.7517 0.6310 0.4457
0.9365 0.5677 0.9363
0.7516 0.6332 0.0579
0.0635 0.0637 0.4323
0.9354 0.9354 0.9354
0.9370 0.5662 0.5678
0.0646 0.0646 0.0646
0.5548 0.1307 0.2483
0.8693 0.4452 0.7517
0.0579 0.7516 0.6332
0.9363 0.9365 0.5677
0.9418 0.1321 0.2482
0.6332 0.0579 0.7516
0.3690 0.2483 0.5543
0.7518 0.8679 0.0582
0.9421 0.3668 0.2484
0.0637 0.4323 0.0635
0.2509 0.7491 0.0000
0.0630 0.4322 0.4338
0.1321 0.2482 0.9418
0.4452 0.7517 0.8693
0.1307 0.2483 0.5548
0.3668 0.2484 0.9421
0.0000 0.2509 0.7491
0.2617 0.0000 0.7383
0.2613 0.5000 0.7387
0.0000 0.7383 0.2617
0.7383 0.2617 0.0000
0.2504 0.2504 0.2504
0.5000 0.7387 0.2613
0.7496 0.7496 0.7496
0.7387 0.2613 0.5000
0.7489 0.5000 0.2511
0.2511 0.7489 0.5000
0.5000 0.2511 0.7489
```

Calculated values
- total magnetic moment (μB/f.u.) = 0.00
- formation energy without anion corrections (eV/atom) = -0.2681
- density of states at the Fermi level (states/eV/cell) = 17.76



No. 5
A plane-wave DFT calculation with PBEsol was carried out for Ba3BeGa after structural relaxation.

POSCAR file:
```
Ba3BeGa
1.0
-0.2842 0.6546 -6.2084
3.4202 -5.1827 -0.7030
-5.2225 -3.4298 -0.1226
Be Ba Ga
1 3 1
direct
0.5000 0.5000 0.5000
0.0000 0.5000 0.0000
0.0000 0.0000 0.5000
0.5000 0.0000 0.0000
0.0000 0.0000 0.0000
```

Calculated values
- total magnetic moment (μB/f.u.) = 1.97
- density of states at the Fermi level (states/eV/cell) = 9.75
- energy relative to the elements (kcal/mol of atoms) = 13.00



No. 6
A plane-wave DFT calculation with PBEsol was carried out for ScBRh3 after structural relaxation.

POSCAR file:
```
ScBRh3
1.0
-3.9101 -0.0988 -1.1155
0.1508 -4.0610 -0.1689
-1.1096 -0.2038 3.9077
B Rh Sc
1 3 1
direct
0.0000 0.0000 0.0000
0.5000 0.0000 0.0000
0.0000 0.0000 0.5000
0.0000 0.5000 0.0000
0.5000 0.5000 0.5000
```

Calculated values
- total magnetic moment (μB/f.u.) = 0.00
- density of states at the Fermi level (states/eV/cell) = 3.25
- energy relative to the elements (kcal/mol of atoms) = -17.52



No. 7
A plane-wave DFT calculation with PBEsol was carried out for BaHgIr2 after structural relaxation.

POSCAR file:
```
BaHgIr2
1.0
-0.7714 -2.1878 -1.9465
5.5318 -1.0117 -1.0551
-2.2033 -1.8633 5.3232
Ir Ba Hg
2 1 1
direct
0.7030 0.1042 0.4061
0.0210 0.0620 0.0420
0.4809 0.5112 0.9618
0.2951 0.8225 0.5901
```

Calculated values
- total magnetic moment (μB/f.u.) = 0.00
- density of states at the Fermi level (states/eV/cell) = 2.19
- energy relative to the elements (kcal/mol of atoms) = 9.32



No. 8
A plane-wave DFT calculation with PBEsol was carried out for Ti2RhF after structural relaxation.

POSCAR file:
```
Ti2RhF
1.0
4.2702 0.0000 0.0000
2.1351 3.6981 0.0000
2.1351 1.2327 3.4866
Ti F Rh
2 1 1
direct
0.7500 0.7500 0.7500
0.2500 0.2500 0.2500
0.0000 0.0000 0.0000
0.5000 0.5000 0.5000
```

Calculated values
- total magnetic moment (μB/f.u.) = 0.03
- formation energy without anion corrections (eV/atom) = -0.7226
- density of states at the Fermi level (states/eV/cell) = 6.38



No. 9
A plane-wave DFT calculation with PBEsol was carried out for SbMoAs2H after structural relaxation.

POSCAR file:
```
SbMoAs2H
1.0
-2.7717 -1.9925 0.6228
2.5598 -2.3725 3.8019
-1.7573 3.4963 3.3650
Sb Mo H As
1 1 1 2
direct
0.0000 0.0000 0.0000
0.5000 0.5000 0.5000
0.5000 0.0000 0.0000
0.0000 0.0000 0.5000
0.0000 0.5000 0.0000
```

Calculated values
- total magnetic moment (μB/f.u.) = 2.45
- density of states at the Fermi level (states/eV/cell) = 1.86
- uncorrected energy (eV per formula unit) = -25.15



No. 10
A plane-wave DFT calculation with PBEsol was carried out for FeCo after structural relaxation.

POSCAR file:
```
FeCo
1.0
-2.3465 -0.6123 0.0637
0.4033 -1.1570 3.7324
-1.5435 6.3033 2.1209
Co Fe
3 3
direct
0.9855 0.0000 0.0016
0.9968 0.5000 0.4989
0.3576 0.5000 0.8320
0.6708 0.0000 0.6688
0.3253 0.0000 0.3344
0.6640 0.5000 0.1643
```

Calculated values
- total magnetic moment (μB/f.u.) = 4.27
- density of states at the Fermi level (states/eV/cell) = 5.17
- energy relative to the elements (kcal/mol of atoms) = 0.82



No. 11
A plane-wave DFT calculation with PBEsol was carried out for YTlN2 after structural relaxation.

POSCAR file:
```
YTlN2
1.0
4.2310 0.0000 0.0000
2.1155 3.6641 0.0000
2.1155 1.2214 3.4546
Y N Tl
1 2 1
direct
0.0000 0.0000 0.0000
0.2500 0.2500 0.2500
0.7500 0.7500 0.7500
0.5000 0.5000 0.5000
```

Calculated values
- total magnetic moment (μB/f.u.) = 0.00
- formation energy without anion corrections (eV/atom) = 0.1554
- E above lowest polymorph (eV per atom) = 0.5458
- density of states at the Fermi level (states/eV/cell) = 0.59



No. 12
A plane-wave DFT calculation with PBEsol was carried out for Ti3ReAs after structural relaxation.

POSCAR file:
```
Ti3ReAs
1.0
4.6727 0.0000 0.0000
0.0000 4.6727 0.0000
0.0000 0.0000 4.6727
Ti Re As
3 1 1
direct
0.0000 0.0000 0.5000
0.5000 0.0000 0.0000
0.0000 0.5000 0.0000
0.0000 0.0000 0.0000
0.5000 0.5000 0.5000
```

Calculated values
- total magnetic moment (μB/f.u.) = 0.98
- density of states at the Fermi level (states/eV/cell) = 8.18
- energy relative to the elements (kcal/mol of atoms) = 14.29



No. 13
A plane-wave DFT calculation with PBEsol was carried out for BaYOs2 after structural relaxation.

POSCAR file:
```
BaYOs2
1.0
-1.6987 2.6784 1.0917
-2.7082 -1.6253 -1.1293
-0.9977 -3.8898 7.9909
Os Ba Y
2 1 1
direct
0.5000 0.5000 0.8060
0.0000 0.0000 0.9122
0.5000 0.5000 0.1935
0.0000 0.0000 0.5883
```

Calculated values
- total magnetic moment (μB/f.u.) = 0.00
- E above lowest polymorph (eV per atom) = 0.0000
- density of states at the Fermi level (states/eV/cell) = 4.87
- energy relative to the elements (kcal/mol of atoms) = 11.55



No. 14
A plane-wave DFT calculation with PBEsol was carried out for Te2IrPt after structural relaxation.

POSCAR file:
```
Te2IrPt
1.0
-3.9149 -2.2480 1.2658
1.4868 -0.4294 -4.4618
0.0872 -4.7178 0.1940
Te Ir Pt
2 1 1
direct
0.0000 0.7500 0.2500
0.0000 0.2500 0.7500
0.5000 0.5000 0.0000
0.5000 0.0000 0.5000
```

Calculated values
- total magnetic moment (μB/f.u.) = 0.00
- formation energy without anion corrections (eV/atom) = 0.3020
- E above lowest polymorph (eV per atom) = 0.4133
- density of states at the Fermi level (states/eV/cell) = 2.38



No. 15
A plane-wave DFT calculation with PBEsol was carried out for BaAgMo2 after structural relaxation.

POSCAR file:
```
BaAgMo2
1.0
4.0377 0.0000 0.0000
0.0000 4.0377 0.0000
0.0000 0.0000 5.1134
Mo Ba Ag
2 1 1
direct
0.0000 0.5000 0.0000
0.5000 0.0000 0.0000
0.0000 0.0000 0.5000
0.5000 0.5000 0.5000
```

Calculated values
- total magnetic moment (μB/f.u.) = 0.00
- density of states at the Fermi level (states/eV/cell) = 6.29
- energy relative to the elements (kcal/mol of atoms) = 30.85



No. 16
A plane-wave DFT calculation with PBEsol was carried out for LaMg2Sc after structural relaxation.

POSCAR file:
```
LaMg2Sc
1.0
-3.0878 -0.8806 -1.6196
0.9829 -3.4593 0.0069
-3.4902 -0.9774 7.1856
Sc Mg La
1 2 1
direct
0.5000 0.5000 0.0000
0.0000 0.0000 0.2175
0.0000 0.0000 0.7825
0.5000 0.5000 0.5000
```

Calculated values
- total magnetic moment (μB/f.u.) = 0.00
- density of states at the Fermi level (states/eV/cell) = 4.73
- energy relative to the elements (kcal/mol of atoms) = -0.92



No. 17
A plane-wave DFT calculation with PBEsol was carried out for Sr5Mg after structural relaxation.

POSCAR file:
```
Sr5Mg
1.0
-2.5632 4.3540 -4.8185
-3.7733 -2.5043 -5.3138
-7.6120 1.3292 0.1921
Sr Mg
5 1
direct
0.1637 0.1637 0.5088
0.8363 0.8363 0.4912
0.0000 0.3442 0.0000
0.6558 0.0000 0.0000
0.3442 0.6558 0.0000
0.5000 0.5000 0.5000
```

Calculated values
- total magnetic moment (μB/f.u.) = 0.00
- E above lowest polymorph (eV per atom) = 0.0610
- density of states at the Fermi level (states/eV/cell) = 5.90
- energy relative to the elements (kcal/mol of atoms) = 1.14



No. 18
A plane-wave DFT calculation with PBEsol was carried out for B2TeP after structural relaxation.

POSCAR file:
```
B2TeP
1.0
-0.3619 -0.9055 -4.9162
-4.7805 -1.2436 3.1358
-3.7204 3.3409 -0.3415
P B Te
2 4 2
direct
0.2500 0.5000 0.2500
0.5000 0.0000 0.5000
0.1938 0.7500 0.8750
0.3750 0.2500 0.1938
0.8750 0.2500 0.5562
0.5562 0.7500 0.3750
0.7500 0.5000 0.7500
0.0000 0.0000 0.0000
```

Calculated values
- total magnetic moment (μB/f.u.) = 0.00
- formation energy without anion corrections (eV/atom) = 0.3170
- density of states at the Fermi level (states/eV/cell) = 3.04



No. 19
A plane-wave DFT calculation with PBEsol was carried out for V3O7 after structural relaxation.

POSCAR file:
```
V3O7
1.0
-0.8140 -1.6982 3.0556
8.6374 0.7809 4.8431
-3.3632 7.6023 5.4372
O V
21 9
direct
0.7099 0.3840 0.1963
0.0987 0.8025 0.0000
0.0936 0.4064 0.4064
0.7059 0.0000 0.5883
0.0939 0.1963 0.6160
0.7059 0.5883 0.0000
0.9061 0.8037 0.3840
0.9064 0.5936 0.5936
0.9061 0.3840 0.8037
0.2901 0.8037 0.6160
0.0939 0.6160 0.1963
0.7099 0.1963 0.3840
0.2941 0.4117 0.0000
0.2901 0.6160 0.8037
0.9013 0.0000 0.1975
0.5000 0.5936 0.4064
0.9013 0.1975 0.0000
0.5000 0.4064 0.5936
0.2941 0.0000 0.4117
0.0987 0.0000 0.8025
0.5000 0.0000 0.0000
0.1837 0.6327 0.0000
0.8163 0.3673 0.0000
0.8163 0.0000 0.3673
0.3654 0.6346 0.6346
0.0000 0.3654 0.6346
0.0000 0.6346 0.3654
0.6346 0.3654 0.3654
0.0000 0.0000 0.0000
0.1837 0.0000 0.6327
```

Calculated values
- total magnetic moment (μB/f.u.) = 0.57
- formation energy without anion corrections (eV/atom) = -2.3338
- E above lowest polymorph (eV per atom) = 0.0000
- density of states at the Fermi level (states/eV/cell) = 7.83



No. 20
A plane-wave DFT calculation with PBEsol was carried out for As2OsIBr after structural relaxation.

POSCAR file:
```
As2OsIBr
1.0
4.7730 0.0000 0.0000
0.0000 4.7730 0.0000
0.0000 0.0000 5.1487
Os As Br I
1 2 1 1
direct
0.0000 0.0000 0.0000
0.5000 0.0000 0.0000
0.0000 0.5000 0.0000
0.0000 0.0000 0.5000
0.5000 0.5000 0.5000
```

Calculated values
- total magnetic moment (μB/f.u.) = 0.00
- formation energy without anion corrections (eV/atom) = 0.4559
- density of states at the Fermi level (states/eV/cell) = 2.64



No. 21
A plane-wave DFT calculation with PBEsol was carried out for Co2SiTe after structural relaxation.

POSCAR file:
```
Co2SiTe
1.0
-2.6573 0.3572 1.0458
0.1272 -2.6065 1.2135
2.4974 2.6542 5.4395
Co Si Te
2 1 1
direct
0.0000 0.0000 0.8076
0.0000 0.0000 0.1924
0.5000 0.5000 0.0000
0.5000 0.5000 0.5000
```

Calculated values
- total magnetic moment (μB/f.u.) = 0.00
- formation energy without anion corrections (eV/atom) = 0.0083
- E above lowest polymorph (eV per atom) = 0.0856
- density of states at the Fermi level (states/eV/cell) = 2.84



No. 22
A plane-wave DFT calculation with PBEsol was carried out for Ba2SrSb after structural relaxation.

POSCAR file:
```
Ba2SrSb
1.0
-2.9030 -2.0103 2.9299
4.0011 0.0773 4.0174
-2.6415 6.8602 -1.5031
Ba Sr Sb
2 1 1
direct
0.1992 0.1992 0.3983
0.8008 0.8008 0.6017
0.0000 0.5000 0.0000
0.5000 0.0000 0.0000
```

Calculated values
- total magnetic moment (μB/f.u.) = 0.00
- formation energy without anion corrections (eV/atom) = -0.4980
- density of states at the Fermi level (states/eV/cell) = 3.91



No. 23
A plane-wave DFT calculation with PBEsol was carried out for MoPt2W after structural relaxation.

POSCAR file:
```
MoPt2W
1.0
3.8234 0.0000 0.0000
0.0000 3.8234 0.0000
0.0000 0.0000 4.0926
Pt W Mo
2 1 1
direct
0.5000 0.0000 0.0000
0.0000 0.5000 0.0000
0.5000 0.5000 0.5000
0.0000 0.0000 0.5000
```

Calculated values
- total magnetic moment (μB/f.u.) = 0.00
- E above lowest polymorph (eV per atom) = 0.0643
- density of states at the Fermi level (states/eV/cell) = 3.11
- energy relative to the elements (kcal/mol of atoms) = -5.80



no.,volume (Å³ per atom)
1,14.1
2,19.3
3,11.9
4,20.5
5,48.8
6,13.5
7,22.4
8,13.8
9,18.5
10,10.8
11,13.4
12,20.4
13,25.1
14,18.9
15,20.8
16,26.0
17,46.4
18,14.6
19,11.4
20,23.5
21,13.6
22,42.7
23,15.0